# Er2PuTlHg4, optimized geometry, DFT PBE
data_Er2PuTlHg4
_cell_length_a 9.306
_cell_length_b 9.306
_cell_length_c 9.306
_cell_angle_alpha 32.38
_cell_angle_beta 32.38
_cell_angle_gamma 32.38
_symmetry_space_group_name_H-M 'P 1'
_symmetry_Int_Tables_number 1
loop_
_symmetry_equiv_pos_as_xyz
'x,y,z'
loop_
_atom_site_label
_atom_site_type_symbol
_atom_site_fract_x
_atom_site_fract_y
_atom_site_fract_z
Er1 Er 0.245 0.245 0.245
Er2 Er 0.755 0.755 0.755
Pu1 Pu 0.000 0.000 0.000
Tl1 Tl 0.500 0.500 0.500
Hg1 Hg 0.121 0.121 0.121
Hg2 Hg 0.372 0.372 0.372
Hg3 Hg 0.628 0.628 0.628
Hg4 Hg 0.879 0.879 0.879
# Energy of formation from the pure elements in eV/f.u.: -2.0
# Space group: R-3m, No. 166
# Final energy in eV/atom: -3.629

***

# Mg8RhAu2, optimized geometry, DFT PBE
data_Mg8RhAu2
_cell_length_a 7.955
_cell_length_b 7.955
_cell_length_c 6.651
_cell_angle_alpha 111.82
_cell_angle_beta 111.82
_cell_angle_gamma 33.46
_symmetry_space_group_name_H-M 'P 1'
_symmetry_Int_Tables_number 1
loop_
_symmetry_equiv_pos_as_xyz
'x,y,z'
loop_
_atom_site_label
_atom_site_type_symbol
_atom_site_fract_x
_atom_site_fract_y
_atom_site_fract_z
Mg1 Mg 0.023 0.023 0.288
Mg2 Mg 0.184 0.184 0.756
Mg3 Mg 0.338 0.338 0.571
Mg4 Mg 0.397 0.397 0.068
Mg5 Mg 0.603 0.603 0.932
Mg6 Mg 0.662 0.662 0.429
Mg7 Mg 0.816 0.816 0.244
Mg8 Mg 0.977 0.977 0.712
Rh1 Rh 0.500 0.500 0.500
Au1 Au 0.183 0.183 0.177
Au2 Au 0.817 0.817 0.823
# Energy of formation from the pure elements in eV/f.u.: -4.4
# Space group: C2/m, No. 12
# Final energy in eV/atom: -2.822

***

# HoEr3Ni3, optimized geometry, DFT PBE
data_HoEr3Ni3
_cell_length_a 6.675
_cell_length_b 6.675
_cell_length_c 6.758
_cell_angle_alpha 90.99
_cell_angle_beta 90.99
_cell_angle_gamma 96.41
_symmetry_space_group_name_H-M 'P 1'
_symmetry_Int_Tables_number 1
loop_
_symmetry_equiv_pos_as_xyz
'x,y,z'
loop_
_atom_site_label
_atom_site_type_symbol
_atom_site_fract_x
_atom_site_fract_y
_atom_site_fract_z
Ho1 Ho 0.243 0.243 0.379
Ho2 Ho 0.757 0.757 0.621
Er1 Er 0.164 0.164 0.874
Er2 Er 0.251 0.749 0.500
Er3 Er 0.324 0.676 0.000
Er4 Er 0.676 0.324 0.000
Er5 Er 0.749 0.251 0.500
Er6 Er 0.836 0.836 0.126
Ni1 Ni 0.004 0.515 0.789
Ni2 Ni 0.442 0.442 0.687
Ni3 Ni 0.485 0.996 0.211
Ni4 Ni 0.515 0.004 0.789
Ni5 Ni 0.558 0.558 0.313
Ni6 Ni 0.996 0.485 0.211
# Energy of formation from the pure elements in eV/f.u.: -2.3
# Space group: C2/m, No. 12
# Final energy in eV/atom: -5.410

***

What is the energy of formation from the pure elements in the second record?
-4.4 eV/f.u.

***

final energy of number 3 (HoEr3Ni3)?
-5.410 eV/atom

***

The highest energy of formation from the pure elements belongs to which entry?
Er2PuTlHg4